Record 1
# Al2InBr PBE relaxed
data_Al2InBr
_chemical_formula_sum 'Al2 In1 Br1'
_symmetry_space_group_name_H-M 'P 1'
_symmetry_Int_Tables_number 1
_cell_length_a 3.279
_cell_length_b 3.279
_cell_length_c 8.917
_cell_angle_alpha 90.00
_cell_angle_beta 90.00
_cell_angle_gamma 90.00
loop_
_symmetry_equiv_pos_as_xyz
'x,y,z'
loop_
_atom_site_label
_atom_site_fract_x
_atom_site_fract_y
_atom_site_fract_z
Al1 0.000 0.000 0.046
Al2 0.500 0.500 0.228
Br1 0.000 0.000 0.427
In1 0.500 0.500 0.798
# Volume (Å³ per atom): 23.97
# Raw total energy (eV/atom): -2.926
# ΔE_f (raw) (eV/atom): 0.05
# Theoretical density (g/cm3): 4.307
# Energy above the most stable polymorph in this dataset (kJ/mol of atoms): 2.4
# SG: P4mm, No. 99

Record 2
# VCr8W2 PBE relaxed
data_VCr8W2
_chemical_formula_sum 'V1 Cr8 W2'
_symmetry_space_group_name_H-M 'P 1'
_symmetry_Int_Tables_number 1
_cell_length_a 2.916
_cell_length_b 6.426
_cell_length_c 8.045
_cell_angle_alpha 75.09
_cell_angle_beta 92.61
_cell_angle_gamma 92.32
loop_
_symmetry_equiv_pos_as_xyz
'x,y,z'
loop_
_atom_site_label
_atom_site_fract_x
_atom_site_fract_y
_atom_site_fract_z
V1 0.000 0.000 0.970
Cr1 0.750 0.667 0.182
Cr2 0.290 0.021 0.604
Cr3 0.243 0.664 0.427
Cr4 0.704 0.338 0.994
Cr5 0.755 0.337 0.512
Cr6 0.709 0.979 0.335
Cr7 0.249 0.333 0.757
Cr8 0.296 0.662 0.945
W1 0.229 0.311 0.256
W2 0.770 0.690 0.683
# Volume (Å³ per atom): 13.22
# Raw total energy (eV/atom): -9.888
# Theoretical density (g/cm3): 9.527
# Energy of formation (meV per atom): 295
# SG: P1, No. 1

Record 3
# LiYCl3 PBE relaxed
data_LiYCl3
_chemical_formula_sum 'Li1 Y1 Cl3'
_symmetry_space_group_name_H-M 'P 1'
_symmetry_Int_Tables_number 1
_cell_length_a 4.675
_cell_length_b 4.675
_cell_length_c 4.675
_cell_angle_alpha 90.00
_cell_angle_beta 90.00
_cell_angle_gamma 90.00
loop_
_symmetry_equiv_pos_as_xyz
'x,y,z'
loop_
_atom_site_label
_atom_site_fract_x
_atom_site_fract_y
_atom_site_fract_z
Y1 0.500 0.500 0.500
Li1 0.000 0.000 0.000
Cl1 0.000 0.500 0.000
Cl2 0.000 0.000 0.500
Cl3 0.500 0.000 0.000
# Volume (Å³ per atom): 20.43
# Raw total energy (eV/atom): -4.208
# ΔE_f (raw) (eV/atom): -1.42
# Theoretical density (g/cm3): 3.286
# Energy above the most stable polymorph in this dataset (kJ/mol of atoms): 39.8
# SG: Pm-3m, No. 221

Record 4
# LaMg2CdC PBE relaxed
data_LaMg2CdC
_chemical_formula_sum 'La1 Mg2 Cd1 C1'
_symmetry_space_group_name_H-M 'P 1'
_symmetry_Int_Tables_number 1
_cell_length_a 4.618
_cell_length_b 4.618
_cell_length_c 5.152
_cell_angle_alpha 90.00
_cell_angle_beta 90.00
_cell_angle_gamma 90.00
loop_
_symmetry_equiv_pos_as_xyz
'x,y,z'
loop_
_atom_site_label
_atom_site_fract_x
_atom_site_fract_y
_atom_site_fract_z
Mg1 0.000 0.500 0.000
Mg2 0.500 0.000 0.000
Cd1 0.500 0.500 0.500
C1 0.000 0.000 0.000
La1 0.000 0.000 0.500
# Volume (Å³ per atom): 21.98
# Raw total energy (eV/atom): -3.577
# Theoretical density (g/cm3): 4.714
# Energy of formation (meV per atom): 74
# SG: P4/mmm, No. 123

Record 5
# Li5La3I12 PBE relaxed
data_Li5La3I12
_chemical_formula_sum 'Li20 La12 I48'
_symmetry_space_group_name_H-M 'P 1'
_symmetry_Int_Tables_number 1
_cell_length_a 15.464
_cell_length_b 15.464
_cell_length_c 15.464
_cell_angle_alpha 109.47
_cell_angle_beta 109.47
_cell_angle_gamma 109.47
loop_
_symmetry_equiv_pos_as_xyz
'x,y,z'
loop_
_atom_site_label
_atom_site_fract_x
_atom_site_fract_y
_atom_site_fract_z
La1 0.750 0.375 0.125
La2 0.875 0.750 0.125
La3 0.375 0.750 0.625
La4 0.250 0.125 0.375
La5 0.875 0.125 0.250
La6 0.375 0.625 0.250
La7 0.625 0.375 0.750
La8 0.125 0.875 0.750
La9 0.750 0.875 0.625
La10 0.625 0.250 0.375
La11 0.125 0.250 0.875
La12 0.250 0.625 0.875
Li1 0.125 0.375 0.250
Li2 0.000 0.500 0.000
Li3 0.000 0.000 0.000
Li4 0.375 0.250 0.125
Li5 0.500 0.000 0.500
Li6 0.500 0.500 0.000
Li7 0.125 0.750 0.375
Li8 0.750 0.125 0.875
Li9 0.750 0.625 0.375
Li10 0.375 0.125 0.750
Li11 0.625 0.875 0.250
Li12 0.500 0.500 0.500
Li13 0.500 0.000 0.000
Li14 0.000 0.000 0.500
Li15 0.250 0.375 0.625
Li16 0.250 0.875 0.125
Li17 0.000 0.500 0.500
Li18 0.875 0.250 0.625
Li19 0.625 0.750 0.875
Li20 0.875 0.625 0.750
I1 0.714 0.123 0.033
I2 0.319 0.533 0.410
I3 0.967 0.377 0.286
I4 0.533 0.214 0.123
I5 0.591 0.714 0.681
I6 0.967 0.590 0.181
I7 0.319 0.786 0.409
I8 0.090 0.909 0.123
I9 0.590 0.967 0.681
I10 0.714 0.591 0.181
I11 0.786 0.467 0.377
I12 0.819 0.910 0.033
I13 0.123 0.714 0.533
I14 0.377 0.410 0.091
I15 0.091 0.910 0.377
I16 0.409 0.123 0.590
I17 0.091 0.181 0.214
I18 0.467 0.681 0.090
I19 0.819 0.909 0.286
I20 0.123 0.409 0.090
I21 0.377 0.967 0.786
I22 0.590 0.623 0.409
I23 0.910 0.819 0.533
I24 0.786 0.319 0.909
I25 0.410 0.377 0.591
I26 0.090 0.181 0.467
I27 0.214 0.681 0.091
I28 0.181 0.091 0.714
I29 0.623 0.033 0.214
I30 0.877 0.591 0.910
I31 0.533 0.319 0.910
I32 0.591 0.877 0.410
I33 0.909 0.819 0.786
I34 0.909 0.090 0.623
I35 0.877 0.286 0.467
I36 0.181 0.090 0.967
I37 0.623 0.590 0.909
I38 0.410 0.033 0.319
I39 0.286 0.409 0.819
I40 0.214 0.533 0.623
I41 0.910 0.091 0.877
I42 0.681 0.214 0.591
I43 0.467 0.786 0.877
I44 0.033 0.410 0.819
I45 0.409 0.286 0.319
I46 0.033 0.623 0.714
I47 0.681 0.467 0.590
I48 0.286 0.877 0.967
# Volume (Å³ per atom): 35.59
# Raw total energy (eV/atom): -3.393
# ΔE_f (raw) (eV/atom): -1.24
# Theoretical density (g/cm3): 4.606
# SG: Ia-3d, No. 230

Record 6
# Na2IrW PBE relaxed
data_Na2IrW
_chemical_formula_sum 'Na2 Ir1 W1'
_symmetry_space_group_name_H-M 'P 1'
_symmetry_Int_Tables_number 1
_cell_length_a 4.693
_cell_length_b 4.693
_cell_length_c 4.693
_cell_angle_alpha 60.00
_cell_angle_beta 60.00
_cell_angle_gamma 60.00
loop_
_symmetry_equiv_pos_as_xyz
'x,y,z'
loop_
_atom_site_label
_atom_site_fract_x
_atom_site_fract_y
_atom_site_fract_z
Na1 0.250 0.250 0.250
Na2 0.750 0.750 0.750
Ir1 0.500 0.500 0.500
W1 0.000 0.000 0.000
# Volume (Å³ per atom): 18.27
# Raw total energy (eV/atom): -4.463
# Theoretical density (g/cm3): 9.589
# Energy of formation (meV per atom): 1650
# Energy above the most stable polymorph in this dataset (kJ/mol of atoms): 25.8
# SG: Fm-3m, No. 225

Record 7
# Th2AlAu6 PBE relaxed
data_Th2AlAu6
_chemical_formula_sum 'Th2 Al1 Au6'
_symmetry_space_group_name_H-M 'P 1'
_symmetry_Int_Tables_number 1
_cell_length_a 5.410
_cell_length_b 6.436
_cell_length_c 6.436
_cell_angle_alpha 120.00
_cell_angle_beta 90.00
_cell_angle_gamma 90.00
loop_
_symmetry_equiv_pos_as_xyz
'x,y,z'
loop_
_atom_site_label
_atom_site_fract_x
_atom_site_fract_y
_atom_site_fract_z
Th1 0.320 0.667 0.333
Th2 0.680 0.333 0.667
Al1 0.500 0.000 0.000
Au1 0.804 0.818 0.636
Au2 0.804 0.818 0.182
Au3 0.196 0.636 0.818
Au4 0.804 0.364 0.182
Au5 0.196 0.182 0.818
Au6 0.196 0.182 0.364
# Volume (Å³ per atom): 21.56
# Raw total energy (eV/atom): -4.844
# Theoretical density (g/cm3): 14.315
# Energy of formation (meV per atom): -594
# SG: P-3m1, No. 164